# IrRu2Cl PBE optimized geometry
# Fermi-level density of states   5.20 states/eV per cell
# Relative energy among the computed polymorphs   232 meV/atom
# Calculated density   11.93 Mg/m³
# Crystal system   monoclinic
# Energy relative to the elements, uncorrected   0.63 eV per atom
data_IrRu2Cl
_chemical_formula_sum 'Ir1 Ru2 Cl1'
_symmetry_space_group_name_H-M 'P 1'
_symmetry_Int_Tables_number 1
_cell_length_a 5.112
_cell_length_b 5.112
_cell_length_c 4.330
_cell_angle_alpha 88.98
_cell_angle_beta 88.98
_cell_angle_gamma 31.92
loop_
_symmetry_equiv_pos_as_xyz
'x,y,z'
loop_
_atom_site_label
_atom_site_type_symbol
_atom_site_fract_x
_atom_site_fract_y
_atom_site_fract_z
_atom_site_occupancy
Cl1 Cl 0.501 0.501 0.512 1
Ir1 Ir 0.280 0.280 0.229 1
Ru1 Ru 0.003 0.003 0.006 1
Ru2 Ru 0.717 0.717 0.753 1